1.
The following is a PBEsol calculation of a relaxed structure of CsLiSn2, from the Alexandria database.

Unit cell a=5.5852 b=5.5852 c=5.5852 alpha=60.00 beta=60.00 gamma=60.00
Fractional positions:
1 Cs 0.5000 0.5000 0.5000
2 Sn 0.2500 0.2500 0.2500
3 Sn 0.7500 0.7500 0.7500
4 Li 0.0000 0.0000 0.0000

Output
- Space group: Fm-3m, No. 225
- Calculated formation energy: 0.1473 eV per atom
- E_tot: -0.1992 Ry per atom

2.
The following is a PBEsol calculation of a relaxed structure of CsSr2Li2, from the Alexandria database.

Unit cell a=4.0230 b=10.7352 c=10.7352 alpha=90.00 beta=90.00 gamma=90.00
Fractional positions:
1 Cs 0.0000 0.0000 0.0000
2 Cs 0.0000 0.5000 0.5000
3 Sr 0.0000 0.3705 0.8705
4 Sr 0.0000 0.8705 0.6295
5 Sr 0.0000 0.6295 0.1295
6 Sr 0.0000 0.1295 0.3705
7 Li 0.5000 0.1599 0.6599
8 Li 0.5000 0.6599 0.8401
9 Li 0.5000 0.8401 0.3401
10 Li 0.5000 0.3401 0.1599

Output
- Space group: P4/mbm, No. 127
- Calculated formation energy: 0.1572 eV per atom
- E_tot: -0.1142 Ry per atom

3.
The following is a PBEsol calculation of a relaxed structure of CsSrLi2Zn, from the Alexandria database.

Unit cell a=6.1265 b=6.5328 c=6.5328 alpha=90.00 beta=90.00 gamma=90.00
Fractional positions:
1 Cs 0.5000 0.5000 0.5000
2 Sr 0.0000 0.0000 0.0000
3 Zn 0.5000 0.0000 0.0000
4 Li 0.0000 0.0000 0.5000
5 Li 0.0000 0.5000 0.0000

Output
- Space group: P4/mmm, No. 123
- Calculated formation energy: 0.5119 eV per atom
- E_tot: -0.0844 Ry per atom

4.
The following is a PBEsol calculation of a relaxed structure of Cs2Li2Ta, from the Alexandria database.

Unit cell a=3.1836 b=9.4543 c=9.4543 alpha=90.00 beta=90.00 gamma=90.00
Site moments in Bohr magnetons follow the coordinates.
Fractional positions:
1 Cs 0.0000 0.3699 0.8699  0.01
2 Cs 0.0000 0.8699 0.6301  0.01
3 Cs 0.0000 0.6301 0.1301  0.01
4 Cs 0.0000 0.1301 0.3699  0.01
5 Li 0.5000 0.1833 0.6833  0.00
6 Li 0.5000 0.6833 0.8167  0.00
7 Li 0.5000 0.8167 0.3167  0.00
8 Li 0.5000 0.3167 0.1833  0.00
9 Ta 0.0000 0.0000 0.0000  0.60
10 Ta 0.0000 0.5000 0.5000  0.60

Output
- Space group: P4/mbm, No. 127
- Calculated formation energy: 1.3270 eV per atom
- E_tot: -0.1725 Ry per atom

5.
The following is a PBEsol calculation of a relaxed structure of CsLi3Te, from the Alexandria database.

Unit cell a=5.5457 b=5.5457 c=5.5457 alpha=90.00 beta=90.00 gamma=90.00
Fractional positions:
1 Cs 0.5000 0.5000 0.5000
2 Te 0.0000 0.0000 0.0000
3 Li 0.0000 0.5000 0.0000
4 Li 0.0000 0.0000 0.5000
5 Li 0.5000 0.0000 0.0000

Output
- Space group: Pm-3m, No. 221
- E_tot: -0.1781 Ry per atom

6.
The following is a PBEsol calculation of a relaxed structure of Cs2LiYTi, from the Alexandria database.

Unit cell a=5.7556 b=6.9721 c=6.9721 alpha=90.00 beta=90.00 gamma=90.00
Site moments in Bohr magnetons follow the coordinates.
Fractional positions:
1 Cs 0.0000 0.0000 0.5000  0.06
2 Cs 0.0000 0.5000 0.0000  0.06
3 Y 0.0000 0.0000 0.0000  0.91
4 Li 0.5000 0.0000 0.0000  0.02
5 Ti 0.5000 0.5000 0.5000  2.08

Output
- Space group: P4/mmm, No. 123
- Calculated formation energy: 1.6024 eV per atom
- E_tot: -0.1615 Ry per atom

| no. | calculated volume (Å³/atom) |
| --- | --- |
| 1 | 30.80 |
| 2 | 46.36 |
| 3 | 52.29 |
| 4 | 28.46 |
| 5 | 34.11 |
| 6 | 55.96 |